# InFeHg2

A relaxed InFeHg2 crystal (PBE-GGA, Alexandria).

a = 6.996 Å, b = 6.996 Å, c = 4.655 Å
α = 70.19°, β = 70.19°, γ = 24.30°
Positions (direct):
1 Fe 0.749 0.749 0.751
2 Hg 0.064 0.064 0.934
3 Hg 0.253 0.253 0.248
4 In 0.434 0.434 0.567

- energy of formation from the pure elements (kJ/mol of formula units) = 101.2



# InFeHg2

A relaxed InFeHg2 crystal (PBE-GGA, Alexandria).

a = 3.083 Å, b = 3.083 Å, c = 8.947 Å
α = 90.00°, β = 90.00°, γ = 90.00°
Positions (direct):
1 Fe 0.500 0.500 0.750
2 Hg 0.000 0.000 0.955
3 Hg 0.000 0.000 0.545
4 In 0.500 0.500 0.250

- energy of formation from the pure elements (kJ/mol of formula units) = 127.0



# In2FeHgIr

A relaxed In2FeHgIr crystal (PBE-GGA, Alexandria).

a = 4.882 Å, b = 4.885 Å, c = 4.882 Å
α = 90.00°, β = 90.00°, γ = 90.00°
Positions (direct):
1 Fe 0.000 0.000 0.000
2 Ir 0.500 0.500 0.500
3 Hg 0.000 0.500 0.000
4 In 0.000 0.000 0.500
5 In 0.500 0.000 0.000

- energy of formation from the pure elements (kJ/mol of formula units) = 503.3



# KIn2FeHg

A relaxed KIn2FeHg crystal (PBE-GGA, Alexandria).

a = 5.052 Å, b = 5.052 Å, c = 5.267 Å
α = 90.00°, β = 90.00°, γ = 90.00°
Positions (direct):
1 Fe 0.000 0.000 0.000
2 K 0.500 0.500 0.500
3 Hg 0.000 0.000 0.500
4 In 0.000 0.500 0.000
5 In 0.500 0.000 0.000

- energy of formation from the pure elements (kJ/mol of formula units) = 27.8



# KInFe2Hg

A relaxed KInFe2Hg crystal (PBE-GGA, Alexandria).

a = 5.405 Å, b = 6.090 Å, c = 5.405 Å
α = 90.00°, β = 90.00°, γ = 90.00°
Positions (direct):
1 Fe 0.000 0.000 0.500
2 Fe 0.500 0.000 0.000
3 K 0.000 0.000 0.000
4 Hg 0.500 0.500 0.500
5 In 0.000 0.500 0.000

- energy of formation from the pure elements (kJ/mol of formula units) = 905.2



# LaIn2FeHg

A relaxed LaIn2FeHg crystal (PBE-GGA, Alexandria).

a = 5.097 Å, b = 5.097 Å, c = 4.968 Å
α = 90.00°, β = 90.00°, γ = 90.00°
Positions (direct):
1 Fe 0.000 0.000 0.000
2 In 0.000 0.500 0.000
3 In 0.500 0.000 0.000
4 Hg 0.500 0.500 0.500
5 La 0.000 0.000 0.500

- energy of formation from the pure elements (kJ/mol of formula units) = -94.3



# LiInFe2Hg

A relaxed LiInFe2Hg crystal (PBE-GGA, Alexandria).

a = 5.005 Å, b = 5.382 Å, c = 5.005 Å
α = 90.00°, β = 90.00°, γ = 90.00°
Positions (direct):
1 Fe 0.000 0.000 0.500
2 Fe 0.500 0.000 0.000
3 Li 0.500 0.500 0.500
4 Hg 0.000 0.000 0.000
5 In 0.000 0.500 0.000

- energy of formation from the pure elements (kJ/mol of formula units) = 531.9



# In2FeHgPb

A relaxed In2FeHgPb crystal (PBE-GGA, Alexandria).

a = 5.085 Å, b = 5.085 Å, c = 5.038 Å
α = 90.00°, β = 90.00°, γ = 90.00°
Positions (direct):
1 Pb 0.000 0.000 0.500
2 Fe 0.000 0.000 0.000
3 Hg 0.500 0.500 0.500
4 In 0.000 0.500 0.000
5 In 0.500 0.000 0.000

- energy of formation from the pure elements (kJ/mol of formula units) = 64.0